[1]
Below is an optimized crystal structure of Tl2InF, with properties calculated at the GGA-PBE level.

DFT total energy = -2.894 eV/atom
ΔE to the lowest computed polymorph = 0.137 eV per atom
Energy relative to the elements, uncorrected = -0.5588 eV/atom

Cell lengths 5.6477, 5.6477, 16.0092 Å; angles 90.00, 90.00, 90.00 degrees
Last column: nearest neighbours and their distance in Å.
Space group I-42d (No. 122)
Asymmetric unit:
Tl 0.1493 0.2500 0.1250 x8  2 F 2.59
In 0.0000 0.0000 0.5000 x4  4 Tl 3.15
F 0.0000 0.0000 0.0000 x4  4 Tl 2.59

---

[2]
Below is an optimized crystal structure of Mo2P, with properties calculated at the GGA-PBE level.

Energy of formation = -0.220 eV/atom
DFT total energy = -9.244 eV/atom
ΔE to the lowest computed polymorph = 0.164 eV per atom

Cell lengths 9.0300, 3.1176, 7.0794 Å; angles 90.00, 117.71, 90.00 degrees
Last column: nearest neighbours and their distance in Å.
Space group C2/m (No. 12)
Asymmetric unit:
Mo 0.0579 0.0000 0.3353 x4  5 P 2.49-2.60
Mo 0.1532 0.5000 0.0492 x4  3 P 2.49-2.73, 3 Mo 2.52-2.67
P 0.1576 0.5000 0.6658 x4  8 Mo 2.49-2.73, 1 P 2.72

---

[3]
Below is an optimized crystal structure of K2CrGeSe4, with properties calculated at the GGA-PBE level.

DFT total energy = -4.441 eV/atom
Energy relative to the elements, uncorrected = -0.6444 eV/atom

Cell lengths 8.1183, 8.4240, 11.6168 Å; angles 90.00, 90.00, 90.00 degrees
Last column: nearest neighbours and their distance in Å.
Space group Imma (No. 74)
Asymmetric unit:
K 0.0000 0.0000 0.0000 x4  6 Se 3.09-3.10
K 0.2500 0.2500 0.2500 x4  6 Se 3.25
Cr 0.2500 0.2500 0.7500 x4  6 Se 2.58-2.64
Ge 0.0000 0.0000 0.5000 x4  6 Se 2.78-2.80
Se 0.0000 0.0514 0.7360 x8  2 Cr 2.64, 1 Ge 2.78
Se 0.2237 0.2500 0.5288 x8  1 Cr 2.58, 2 Ge 2.80

---

[4]
Below is an optimized crystal structure of SrTc2Rh, with properties calculated at the GGA-PBE level.

Energy of formation = 0.988 eV/atom
DFT total energy = -6.453 eV/atom
ΔE to the lowest computed polymorph = 0.656 eV per atom

Cell lengths 6.5376, 6.5376, 6.5376 Å; angles 90.00, 90.00, 90.00 degrees
Last column: nearest neighbours and their distance in Å.
Space group Fm-3m (No. 225)
Asymmetric unit:
Sr 0.0000 0.0000 0.0000 x4  8 Tc 2.83
Tc 0.2500 0.2500 0.2500 x8  4 Rh 2.83, 4 Sr 2.83
Rh 0.0000 0.0000 0.5000 x4  8 Tc 2.83

---

> Which of these has the lowest DFT total energy?

Mo2P

---

> Among the records above, which one has the lowest DFT total energy?

Mo2P

---

> Which of these has the highest DFT total energy?

Tl2InF

---

> DFT total energy of number 1 (Tl2InF)?

-2.894 eV/atom